A plane-wave DFT calculation with PBE was carried out for a geometry-optimized NaRh3Au structure.

excess energy over the best structure of this formula in the dataset: 0.314 eV/atom
energy: -3.691 eV/atom
energy of formation: 8.198 eV per formula unit
ρ: 9.56 g/cm³

a b c (Å): 4.511 4.511 4.511
angles (deg): 90.00 90.00 90.00
Space group Pm-3m (No. 221)
Symmetry-distinct sites (fractional):
Na 0.000 0.000 0.000
Rh 0.000 0.000 0.500
Au 0.500 0.500 0.500